# UHIr (PBE-GGA, optimized geometry)
data_UHIr
_symmetry_space_group_name_H-M 'I 4 m m'
_symmetry_Int_Tables_number 107
_symmetry_space_group_name_Hall 'I 4 -2'
_cell_length_a 3.814
_cell_length_b 3.814
_cell_length_c 6.943
_cell_angle_alpha 90.00
_cell_angle_beta 90.00
_cell_angle_gamma 90.00
loop_
_atom_site_label
_atom_site_fract_x
_atom_site_fract_y
_atom_site_fract_z
_atom_site_occupancy
U1 0.000 0.000 0.000 1
H1 0.000 0.000 0.684 1
Ir1 0.000 0.000 0.444 1
# * ρ: 14.18 g cm⁻³
# * calculated volume: 101.0 Å³ per cell
# * final energy: -7.90 eV/atom

---

# UHIr (PBE-GGA, optimized geometry)
data_UHIr
_symmetry_space_group_name_H-M 'R -3 m'
_symmetry_Int_Tables_number 166
_symmetry_space_group_name_Hall '-R 3 2"'
_cell_length_a 3.7258
_cell_length_b 3.7258
_cell_length_c 23.7617
_cell_angle_alpha 90.00
_cell_angle_beta 90.00
_cell_angle_gamma 120.00
loop_
_atom_site_label
_atom_site_fract_x
_atom_site_fract_y
_atom_site_fract_z
_atom_site_occupancy
U1 0.0000 0.0000 0.2282 1
H1 0.0000 0.0000 0.1343 1
Ir1 0.0000 0.0000 0.3702 1
# * ρ: 15.04 g cm⁻³
# * calculated volume: 285.7 Å³ per cell
# * final energy: -7.95 eV/atom

---

# UH6Ir (PBE-GGA, optimized geometry)
data_UH6Ir
_symmetry_space_group_name_H-M 'R -3 m'
_symmetry_Int_Tables_number 166
_symmetry_space_group_name_Hall '-R 3 2"'
_cell_length_a 4.4535
_cell_length_b 4.4535
_cell_length_c 11.8432
_cell_angle_alpha 90.00
_cell_angle_beta 90.00
_cell_angle_gamma 120.00
loop_
_atom_site_label
_atom_site_fract_x
_atom_site_fract_y
_atom_site_fract_z
_atom_site_occupancy
U1 0.0000 0.0000 0.0000 1
H1 0.0283 0.5141 0.9129 1
Ir1 0.0000 0.0000 0.5000 1
# * ρ: 10.68 g cm⁻³
# * calculated volume: 203.4 Å³ per cell
# * final energy: -5.24 eV/atom

---

# V2HIr (PBE-GGA, optimized geometry)
data_V2HIr
_symmetry_space_group_name_H-M 'P 4/m m m'
_symmetry_Int_Tables_number 123
_symmetry_space_group_name_Hall '-P 4 2'
_cell_length_a 2.723
_cell_length_b 2.723
_cell_length_c 6.015
_cell_angle_alpha 90.00
_cell_angle_beta 90.00
_cell_angle_gamma 90.00
loop_
_atom_site_label
_atom_site_fract_x
_atom_site_fract_y
_atom_site_fract_z
_atom_site_occupancy
V1 0.000 0.000 0.195 1
H1 0.500 0.500 0.000 1
Ir1 0.500 0.500 0.500 1
# * ρ: 10.99 g cm⁻³
# * calculated volume: 44.6 Å³ per cell
# * final energy: -7.67 eV/atom

---

# VH3Ir (PBE-GGA, optimized geometry)
data_VH3Ir
_symmetry_space_group_name_H-M 'P m -3 m'
_symmetry_Int_Tables_number 221
_symmetry_space_group_name_Hall '-P 4 2 3'
_cell_length_a 3.349
_cell_length_b 3.349
_cell_length_c 3.349
_cell_angle_alpha 90.00
_cell_angle_beta 90.00
_cell_angle_gamma 90.00
loop_
_atom_site_label
_atom_site_fract_x
_atom_site_fract_y
_atom_site_fract_z
_atom_site_occupancy
V1 0.000 0.000 0.000 1
H1 0.000 0.000 0.500 1
Ir1 0.500 0.500 0.500 1
# * ρ: 10.88 g cm⁻³
# * calculated volume: 37.6 Å³ per cell
# * final energy: -5.16 eV/atom

---

# V2HIr (PBE-GGA, optimized geometry)
data_V2HIr
_symmetry_space_group_name_H-M 'F m -3 m'
_symmetry_Int_Tables_number 225
_symmetry_space_group_name_Hall '-F 4 2 3'
_cell_length_a 5.835
_cell_length_b 5.835
_cell_length_c 5.835
_cell_angle_alpha 90.00
_cell_angle_beta 90.00
_cell_angle_gamma 90.00
loop_
_atom_site_label
_atom_site_fract_x
_atom_site_fract_y
_atom_site_fract_z
_atom_site_occupancy
V1 0.250 0.250 0.250 1
H1 0.000 0.000 0.000 1
Ir1 0.000 0.000 0.500 1
# * ρ: 9.87 g cm⁻³
# * calculated volume: 198.6 Å³ per cell
# * final energy: -7.33 eV/atom

---

# VHIr3 (PBE-GGA, optimized geometry)
data_VHIr3
_symmetry_space_group_name_H-M 'P m -3 m'
_symmetry_Int_Tables_number 221
_symmetry_space_group_name_Hall '-P 4 2 3'
_cell_length_a 3.903
_cell_length_b 3.903
_cell_length_c 3.903
_cell_angle_alpha 90.00
_cell_angle_beta 90.00
_cell_angle_gamma 90.00
loop_
_atom_site_label
_atom_site_fract_x
_atom_site_fract_y
_atom_site_fract_z
_atom_site_occupancy
V1 0.000 0.000 0.000 1
H1 0.500 0.500 0.500 1
Ir1 0.000 0.500 0.500 1
# * ρ: 17.55 g cm⁻³
# * calculated volume: 59.5 Å³ per cell
# * final energy: -8.01 eV/atom

---

# VH3Ir (PBE-GGA, optimized geometry)
data_VH3Ir
_symmetry_space_group_name_H-M 'P m -3 m'
_symmetry_Int_Tables_number 221
_symmetry_space_group_name_Hall '-P 4 2 3'
_cell_length_a 3.477
_cell_length_b 3.477
_cell_length_c 3.477
_cell_angle_alpha 90.00
_cell_angle_beta 90.00
_cell_angle_gamma 90.00
loop_
_atom_site_label
_atom_site_fract_x
_atom_site_fract_y
_atom_site_fract_z
_atom_site_occupancy
V1 0.000 0.000 0.000 1
H1 0.000 0.500 0.500 1
Ir1 0.500 0.500 0.500 1
# * ρ: 9.72 g cm⁻³
# * calculated volume: 42.0 Å³ per cell
# * final energy: -5.46 eV/atom